(1)
# CsAs2Pd3

An optimized crystal structure of CsAs2Pd3 (PBE, the Alexandria database).

abc: 15.8428 4.1330 9.3123
angles: 90.00 112.03 90.00
With the nearest neighbours (Å) after each atom.
Space group C2/m (No. 12)
Symmetry-distinct sites (fractional):
1 Cs 0.1495 0.0000 0.0569 (multiplicity 4)  6 As 3.63-3.73, 3 Pd 3.95-4.02
2 As 0.0259 0.5000 0.2320 (multiplicity 4)  4 Pd 2.46-2.55
3 As 0.1804 0.0000 0.6360 (multiplicity 4)  6 Pd 2.47-2.74
4 Pd 0.0494 0.0000 0.3868 (multiplicity 4)  3 As 2.47
5 Pd 0.0844 0.5000 0.6389 (multiplicity 4)  3 As 2.46-2.57
6 Pd 0.1846 0.5000 0.4452 (multiplicity 4)  4 As 2.52-2.74, 1 Pd 2.81

Computed properties:
E_form ... -0.42 eV per atom

---

(2)
# CsAs2Pd2

An optimized crystal structure of CsAs2Pd2 (PBE, the Alexandria database).

abc: 8.6315 8.6315 3.2133
angles: 90.00 90.00 90.00
With the nearest neighbours (Å) after each atom.
Space group P4/mbm (No. 127)
Symmetry-distinct sites (fractional):
1 Cs 0.0000 0.0000 0.0000 (multiplicity 2)  2 Cs 3.21, 4 Pd 3.47
2 As 0.1265 0.3735 0.5000 (multiplicity 4)  4 Pd 2.63
3 Pd 0.1144 0.6144 0.0000 (multiplicity 4)  4 As 2.63, 1 Pd 2.79

Computed properties:
E_form ... -0.09 eV per atom

---

(3)
# CsAsPd

An optimized crystal structure of CsAsPd (PBE, the Alexandria database).

abc: 3.5613 3.5613 12.9760
angles: 90.00 90.00 90.00
With the nearest neighbours (Å) after each atom.
Space group I4mm (No. 107)
Symmetry-distinct sites (fractional):
1 Cs 0.0000 0.0000 0.0000 (multiplicity 2)  5 Pd 3.54-3.88, 4 Cs 3.56, 5 As 3.65-3.79
2 As 0.0000 0.0000 0.7186 (multiplicity 2)  4 Pd 2.61
3 Pd 0.0000 0.0000 0.2724 (multiplicity 2)  4 As 2.61

Computed properties:
E_form ... -0.26 eV per atom

---

(4)
# CsPrAs2Pd4

An optimized crystal structure of CsPrAs2Pd4 (PBE, the Alexandria database).

abc: 4.1933 4.1933 11.6036
angles: 90.00 90.00 90.00
With the nearest neighbours (Å) after each atom.
Space group P4/mmm (No. 123)
Symmetry-distinct sites (fractional):
1 Cs 0.0000 0.0000 0.0000 (multiplicity 1)  8 As 3.79, 4 Cs 4.19, 8 Pd 4.20
2 Pr 0.0000 0.0000 0.5000 (multiplicity 1)  8 Pd 3.01
3 As 0.5000 0.5000 0.2029 (multiplicity 2)  4 Pd 2.46
4 Pd 0.0000 0.5000 0.3137 (multiplicity 4)  2 As 2.46

Computed properties:
E_form ... -0.52 eV per atom

---

Copy entry 3 word for word.
# CsAsPd

An optimized crystal structure of CsAsPd (PBE, the Alexandria database).

abc: 3.5613 3.5613 12.9760
angles: 90.00 90.00 90.00
With the nearest neighbours (Å) after each atom.
Space group I4mm (No. 107)
Symmetry-distinct sites (fractional):
1 Cs 0.0000 0.0000 0.0000 (multiplicity 2)  5 Pd 3.54-3.88, 4 Cs 3.56, 5 As 3.65-3.79
2 As 0.0000 0.0000 0.7186 (multiplicity 2)  4 Pd 2.61
3 Pd 0.0000 0.0000 0.2724 (multiplicity 2)  4 As 2.61

Computed properties:
E_form ... -0.26 eV per atom

---

What is the E_form in the third record?
-0.26 eV per atom

---

Repeat the second record exactly.
# CsAs2Pd2

An optimized crystal structure of CsAs2Pd2 (PBE, the Alexandria database).

abc: 8.6315 8.6315 3.2133
angles: 90.00 90.00 90.00
With the nearest neighbours (Å) after each atom.
Space group P4/mbm (No. 127)
Symmetry-distinct sites (fractional):
1 Cs 0.0000 0.0000 0.0000 (multiplicity 2)  2 Cs 3.21, 4 Pd 3.47
2 As 0.1265 0.3735 0.5000 (multiplicity 4)  4 Pd 2.63
3 Pd 0.1144 0.6144 0.0000 (multiplicity 4)  4 As 2.63, 1 Pd 2.79

Computed properties:
E_form ... -0.09 eV per atom

---

Which of these has the lowest E_form?
CsPrAs2Pd4